# Mn5Si (meta-GGA SCAN, PBEsol geometry)
# - Formation energy (no corrections): -0.115 eV/atom
data_Mn5Si
_cell_length_a 3.9653
_cell_length_b 2.5542
_cell_length_c 12.4363
_cell_angle_alpha 90.00
_cell_angle_beta 90.00
_cell_angle_gamma 90.00
_space_group_name_H-M_alt 'A m m 2'
_space_group_IT_number 38
loop_
_space_group_symop_operation_xyz
'x,y,z'
'-x,-y,z'
'-x,y,z'
'x,-y,z'
'x,y+1/2,z+1/2'
'-x,-y+1/2,z+1/2'
'-x,y+1/2,z+1/2'
'x,-y+1/2,z+1/2'
loop_
_atom_site_label
_atom_site_type_symbol
_atom_site_fract_x
_atom_site_fract_y
_atom_site_fract_z
Mn1 Mn 0.0000 0.0000 0.0000
Mn2 Mn 0.0000 0.0000 0.3325
Mn3 Mn 0.0000 0.0000 0.6656
Mn4 Mn 0.5000 0.0000 0.1103
Mn5 Mn 0.5000 0.0000 0.4485
Si1 Si 0.5000 0.0000 0.7829

# BeInTc2 (meta-GGA SCAN, PBEsol geometry)
# - Excess energy over the best structure of this formula in the dataset: 0.0000 eV/atom
data_BeInTc2
_cell_length_a 6.0909
_cell_length_b 6.0909
_cell_length_c 6.0909
_cell_angle_alpha 90.00
_cell_angle_beta 90.00
_cell_angle_gamma 90.00
_space_group_name_H-M_alt 'F -4 3 m'
_space_group_IT_number 216
_space_group_name_Hall 'F -4 2 3'
loop_
_atom_site_label
_atom_site_type_symbol
_atom_site_fract_x
_atom_site_fract_y
_atom_site_fract_z
Be1 Be 0.0000 0.0000 0.0000
In1 In 0.2500 0.2500 0.2500
Tc1 Tc 0.0000 0.0000 0.5000
Tc2 Tc 0.2500 0.2500 0.7500

# SrSiNi2 (meta-GGA SCAN, PBEsol geometry)
# - Formation energy (no corrections): 0.356 eV/atom
data_SrSiNi2
_cell_length_a 6.2943
_cell_length_b 6.2935
_cell_length_c 3.0893
_cell_angle_alpha 90.00
_cell_angle_beta 90.29
_cell_angle_gamma 90.00
_space_group_name_H-M_alt 'C 1 2/m 1'
_space_group_IT_number 12
loop_
_space_group_symop_operation_xyz
'x,y,z'
'-x,-y,-z'
'-x,y,-z'
'x,-y,z'
'x+1/2,y+1/2,z'
'-x+1/2,-y+1/2,-z'
'-x+1/2,y+1/2,-z'
'x+1/2,-y+1/2,z'
loop_
_atom_site_label
_atom_site_type_symbol
_atom_site_fract_x
_atom_site_fract_y
_atom_site_fract_z
Sr1 Sr 0.0000 0.0000 0.0000
Si1 Si 0.0000 0.5000 0.0000
Ni1 Ni 0.2500 0.2500 0.5000

# Ba3NiSb2O9 (meta-GGA SCAN, PBEsol geometry)
# - Formation energy (no corrections): -2.263 eV/atom
# - Excess energy over the best structure of this formula in the dataset: 0.0000 eV/atom
data_Ba3NiSb2O9
_cell_length_a 5.8215
_cell_length_b 5.8215
_cell_length_c 14.4121
_cell_angle_alpha 90.00
_cell_angle_beta 90.00
_cell_angle_gamma 120.00
_space_group_name_H-M_alt 'P 63/m m c'
_space_group_IT_number 194
_space_group_name_Hall '-P 6c 2c'
loop_
_atom_site_label
_atom_site_type_symbol
_atom_site_fract_x
_atom_site_fract_y
_atom_site_fract_z
Ba1 Ba 0.0000 0.0000 0.2500
Ba2 Ba 0.3333 0.6667 0.0867
Ni1 Ni 0.0000 0.0000 0.0000
Sb1 Sb 0.3333 0.6667 0.6511
O1 O 0.0329 0.5165 0.7500
O2 O 0.1664 0.3328 0.5831

# LiRuI2N (meta-GGA SCAN, PBEsol geometry)
# - Formation energy (no corrections): -0.082 eV/atom
data_LiRuI2N
_cell_length_a 5.5337
_cell_length_b 5.5337
_cell_length_c 3.6852
_cell_angle_alpha 90.00
_cell_angle_beta 90.00
_cell_angle_gamma 90.00
_space_group_name_H-M_alt 'P 4/m m m'
_space_group_IT_number 123
_space_group_name_Hall '-P 4 2'
loop_
_atom_site_label
_atom_site_type_symbol
_atom_site_fract_x
_atom_site_fract_y
_atom_site_fract_z
Li1 Li 0.0000 0.0000 0.0000
Ru1 Ru 0.5000 0.5000 0.5000
I1 I 0.0000 0.5000 0.5000
N1 N 0.5000 0.5000 0.0000

# NiHgBr2 (meta-GGA SCAN, PBEsol geometry)
# - Formation energy (no corrections): 0.654 eV/atom
# - Excess energy over the best structure of this formula in the dataset: 0.8854 eV/atom
data_NiHgBr2
_cell_length_a 6.9123
_cell_length_b 6.9123
_cell_length_c 6.9123
_cell_angle_alpha 90.00
_cell_angle_beta 90.00
_cell_angle_gamma 90.00
_space_group_name_H-M_alt 'F -4 3 m'
_space_group_IT_number 216
_space_group_name_Hall 'F -4 2 3'
loop_
_atom_site_label
_atom_site_type_symbol
_atom_site_fract_x
_atom_site_fract_y
_atom_site_fract_z
Ni1 Ni 0.0000 0.0000 0.0000
Hg1 Hg 0.2500 0.2500 0.2500
Br1 Br 0.0000 0.0000 0.5000
Br2 Br 0.2500 0.2500 0.7500

# CrBi (meta-GGA SCAN, PBEsol geometry)
# - E_tot: -48.15 eV/atom
data_CrBi
_cell_length_a 3.3037
_cell_length_b 7.9539
_cell_length_c 6.9379
_cell_angle_alpha 90.00
_cell_angle_beta 90.03
_cell_angle_gamma 90.00
_space_group_name_H-M_alt 'P 1 21/c 1'
_space_group_IT_number 14
loop_
_space_group_symop_operation_xyz
'x,y,z'
'-x,-y,-z'
'-x,y+1/2,-z+1/2'
'x,-y+1/2,z+1/2'
loop_
_atom_site_label
_atom_site_type_symbol
_atom_site_fract_x
_atom_site_fract_y
_atom_site_fract_z
Cr1 Cr 0.2491 0.0381 0.3151
Bi1 Bi 0.2509 0.7067 0.4914

# FeNiHg2 (meta-GGA SCAN, PBEsol geometry)
# - E_tot: -42.25 eV/atom
data_FeNiHg2
_cell_length_a 8.5810
_cell_length_b 2.9289
_cell_length_c 5.1532
_cell_angle_alpha 90.00
_cell_angle_beta 101.27
_cell_angle_gamma 90.00
_space_group_name_H-M_alt 'C 1 2/m 1'
_space_group_IT_number 12
loop_
_space_group_symop_operation_xyz
'x,y,z'
'-x,-y,-z'
'-x,y,-z'
'x,-y,z'
'x+1/2,y+1/2,z'
'-x+1/2,-y+1/2,-z'
'-x+1/2,y+1/2,-z'
'x+1/2,-y+1/2,z'
loop_
_atom_site_label
_atom_site_type_symbol
_atom_site_fract_x
_atom_site_fract_y
_atom_site_fract_z
Fe1 Fe 0.0000 0.0000 0.0000
Ni1 Ni 0.0000 0.5000 0.5000
Hg1 Hg 0.2472 0.0000 0.7460

# SrMgPtW2 (meta-GGA SCAN, PBEsol geometry)
# - E_tot: -46.35 eV/atom
data_SrMgPtW2
_cell_length_a 4.8914
_cell_length_b 4.8914
_cell_length_c 4.9899
_cell_angle_alpha 90.00
_cell_angle_beta 90.00
_cell_angle_gamma 90.00
_space_group_name_H-M_alt 'P 4/m m m'
_space_group_IT_number 123
_space_group_name_Hall '-P 4 2'
loop_
_atom_site_label
_atom_site_type_symbol
_atom_site_fract_x
_atom_site_fract_y
_atom_site_fract_z
Sr1 Sr 0.0000 0.0000 0.0000
Mg1 Mg 0.5000 0.5000 0.0000
Pt1 Pt 0.5000 0.5000 0.5000
W1 W 0.0000 0.5000 0.5000

# KCa4Si8H16O29 (meta-GGA SCAN, PBEsol geometry)
# - E_tot: -8.52 eV/atom
data_KCa4Si8H16O29
_cell_length_a 8.9047
_cell_length_b 8.9047
_cell_length_c 15.8365
_cell_angle_alpha 90.00
_cell_angle_beta 90.00
_cell_angle_gamma 90.00
_space_group_name_H-M_alt 'P 4/m n c'
_space_group_IT_number 128
_space_group_name_Hall '-P 4 2n'
loop_
_atom_site_label
_atom_site_type_symbol
_atom_site_fract_x
_atom_site_fract_y
_atom_site_fract_z
K1 K 0.0000 0.0000 0.0000
Ca1 Ca 0.1136 0.2488 0.5000
Si1 Si 0.0834 0.7699 0.3107
H1 H 0.0557 0.6689 0.0882
H2 H 0.0721 0.2757 0.1498
O1 O 0.0000 0.0000 0.5000
O2 O 0.0488 0.2853 0.0894
O3 O 0.0890 0.1908 0.2822
O4 O 0.1004 0.7301 0.4091
O5 O 0.1296 0.6296 0.2500

# SrCa2Cl (meta-GGA SCAN, PBEsol geometry)
# - Formation energy (no corrections): -0.501 eV/atom
# - Excess energy over the best structure of this formula in the dataset: 0.3366 eV/atom
data_SrCa2Cl
_cell_length_a 6.9627
_cell_length_b 12.8824
_cell_length_c 3.8758
_cell_angle_alpha 90.00
_cell_angle_beta 121.57
_cell_angle_gamma 90.00
_space_group_name_H-M_alt 'C 1 2/m 1'
_space_group_IT_number 12
loop_
_space_group_symop_operation_xyz
'x,y,z'
'-x,-y,-z'
'-x,y,-z'
'x,-y,z'
'x+1/2,y+1/2,z'
'-x+1/2,-y+1/2,-z'
'-x+1/2,y+1/2,-z'
'x+1/2,-y+1/2,z'
loop_
_atom_site_label
_atom_site_type_symbol
_atom_site_fract_x
_atom_site_fract_y
_atom_site_fract_z
Sr1 Sr 0.0000 0.0000 0.0000
Ca1 Ca 0.2500 0.2500 0.5000
Cl1 Cl 0.0000 0.5000 0.0000

# KBiF2 (meta-GGA SCAN, PBEsol geometry)
# - Formation energy (no corrections): -1.653 eV/atom
data_KBiF2
_cell_length_a 6.6278
_cell_length_b 6.6278
_cell_length_c 7.6472
_cell_angle_alpha 90.00
_cell_angle_beta 90.00
_cell_angle_gamma 90.00
_space_group_name_H-M_alt 'I -4 2 d'
_space_group_IT_number 122
_space_group_name_Hall 'I -4 2bw'
loop_
_atom_site_label
_atom_site_type_symbol
_atom_site_fract_x
_atom_site_fract_y
_atom_site_fract_z
K1 K 0.0000 0.0000 0.0000
Bi1 Bi 0.0000 0.0000 0.5000
F1 F 0.2472 0.7500 0.6250